Th2RhN PBE relaxed; magnetization = 0.0 μB/cell; symmetry = R-3m, No. 166; E above lowest polymorph = 0.00 eV/f.u.; final energy = -34.47 eV per cell
1.0
-3.401 0.447 1.551
-3.080 -1.081 -1.875
-1.693 -6.418 2.703
Th Rh N
2 1 1
Direct
0.239 0.239 0.283
0.761 0.761 0.717
0.000 0.000 0.000
0.500 0.500 0.500


ThRhN PBE relaxed; magnetization = 0.0 μB/cell; symmetry = Pnma, No. 62; final energy = -105.47 eV per cell
1.0
-1.276 0.216 3.435
5.342 -2.792 2.160
3.621 7.601 0.867
N Th Rh
4 4 4
Direct
0.750 0.147 0.392
0.750 0.353 0.892
0.250 0.647 0.108
0.250 0.853 0.608
0.750 0.098 0.675
0.750 0.402 0.175
0.250 0.902 0.325
0.250 0.598 0.825
0.250 0.360 0.459
0.750 0.860 0.041
0.750 0.640 0.541
0.250 0.140 0.959


Tm2ThRhN4 PBE relaxed; magnetization = 0.0 μB/cell; symmetry = Cmcm, No. 63; final energy = -132.59 eV per cell
1.0
-2.092 1.895 -1.869
4.071 -2.350 -3.871
-6.782 -9.082 -1.619
N Rh Tm Th
8 2 4 2
Direct
0.541 0.082 0.250
0.277 0.555 0.126
0.723 0.445 0.626
0.723 0.445 0.874
0.000 0.000 0.500
0.459 0.918 0.750
0.000 0.000 0.000
0.277 0.555 0.374
0.853 0.706 0.750
0.147 0.294 0.250
0.372 0.744 0.951
0.628 0.256 0.049
0.628 0.256 0.451
0.372 0.744 0.549
0.886 0.773 0.250
0.114 0.227 0.750